Record 1
Material: LiCr2Cd
Method: DFT, GGA-PBE
State: optimized geometry

Geometry as POSCAR:
```
LiCr2Cd
1.0
1.585 -1.998 0.000
1.585 1.998 0.000
0.000 0.000 9.233
Li Cr Cd
1 2 1
direct
0.000 0.000 0.000
0.500 0.500 0.244
0.500 0.500 0.756
0.000 0.000 0.500
```

**Total magnetization**: 0.0 μB per formula unit
**ΔH_f (0 K)**: 743 meV/atom
**N(E_F)**: 3.5 states/eV/cell

Record 2
Material: LiCrCd2
Method: DFT, GGA-PBE
State: optimized geometry

Geometry as POSCAR:
```
LiCrCd2
1.0
5.032 -1.567 0.000
5.032 1.567 0.000
-1.262 0.000 4.739
Li Cr Cd
1 1 2
direct
0.000 0.000 0.000
0.750 0.750 0.300
0.254 0.254 0.806
0.496 0.496 0.488
```

**Total magnetization**: 3.9 μB per formula unit
**ΔH_f (0 K)**: 161 meV/atom
**N(E_F)**: 1.8 states/eV/cell

Record 3
Material: LiCr4Cd
Method: DFT, GGA-PBE
State: optimized geometry

Geometry as POSCAR:
```
LiCr4Cd
1.0
0.000 3.455 3.455
3.455 0.000 3.455
3.455 3.455 0.000
Li Cr Cd
1 4 1
direct
0.000 0.000 0.000
0.371 0.371 0.371
0.371 0.371 0.887
0.371 0.887 0.371
0.887 0.371 0.371
0.750 0.750 0.750
```

**Total magnetization**: 0.0 μB per formula unit
**ΔH_f (0 K)**: 529 meV/atom
**N(E_F)**: 7.6 states/eV/cell

Record 4
Material: LiCr2Cd
Method: DFT, GGA-PBE
State: optimized geometry

Geometry as POSCAR:
```
LiCr2Cd
1.0
-2.254 2.254 3.199
2.254 -2.254 3.199
2.254 2.254 -3.199
Li Cr Cd
1 2 1
direct
0.000 0.000 0.000
0.500 0.500 0.000
0.750 0.250 0.500
0.250 0.750 0.500
```

**Total magnetization**: 0.1 μB per formula unit
**ΔH_f (0 K)**: 349 meV/atom
**N(E_F)**: 2.3 states/eV/cell

Record 5
Material: LiCrCd2
Method: DFT, GGA-PBE
State: optimized geometry

Geometry as POSCAR:
```
LiCrCd2
1.0
1.525 0.880 9.611
-1.525 0.880 9.611
0.000 -1.760 9.611
Li Cr Cd
1 1 2
direct
0.000 0.000 0.000
0.500 0.500 0.500
0.250 0.250 0.250
0.750 0.750 0.750
```

**Total magnetization**: 4.0 μB per formula unit
**ΔH_f (0 K)**: 229 meV/atom
**N(E_F)**: 2.2 states/eV/cell

Record 6
Material: LiCrCd
Method: DFT, GGA-PBE
State: optimized geometry

Geometry as POSCAR:
```
LiCrCd
1.0
0.000 3.260 3.260
3.260 0.000 3.260
3.260 3.260 0.000
Li Cr Cd
1 1 1
direct
0.000 0.000 0.000
0.250 0.250 0.250
0.500 0.500 0.500
```

**Total magnetization**: 4.6 μB per formula unit
**ΔH_f (0 K)**: 642 meV/atom
**N(E_F)**: 1.9 states/eV/cell
**Energy above the lowest structure with this stoichiometry**: 0.339 eV per atom

> Look up the ΔH_f (0 K) of the fifth one.

229 meV/atom

> Look up the N(E_F) of the sixth one.

1.9 states/eV/cell

> Number 2 is which compound?

LiCrCd2